Record 1
Below is a relaxed structure of CsNaV2O6, with properties calculated at the PBE+U level.

Lattice parameters (Å, degrees): 6.0195 8.3297 8.3297 97.41 80.06 80.06
With the nearest neighbours (Å) after each atom.
Fractional coordinates of all 20 atoms:
O: 0.7429 0.0331 0.2576  1 V 1.69
O: 0.2571 0.9669 0.7424  1 V 1.69
V: 0.8253 0.6244 0.7778  4 O 1.67-1.83
V: 0.6747 0.2222 0.3756  4 O 1.67-1.83
O: 0.1023 0.5744 0.2035  1 V 1.67
Cs: 0.2500 0.8866 0.1134  6 O 3.03-3.24
O: 0.6023 0.2035 0.5744  1 V 1.67
O: 0.3977 0.7965 0.4256  1 V 1.67
Cs: 0.7500 0.1134 0.8866  6 O 3.03-3.24
V: 0.1747 0.3756 0.2222  4 O 1.67-1.83
O: 0.0706 0.6846 0.6575  2 V 1.82-1.83
O: 0.5706 0.6575 0.6846  2 V 1.82-1.83
O: 0.7571 0.7424 0.9669  1 V 1.69
Na: 0.2500 0.2549 0.7451  4 O 2.28-2.39
Na: 0.7500 0.7451 0.2549  4 O 2.28-2.39
O: 0.2429 0.2576 0.0331  1 V 1.69
V: 0.3253 0.7778 0.6244  4 O 1.67-1.83
O: 0.4294 0.3425 0.3154  2 V 1.82-1.83
O: 0.9294 0.3154 0.3425  2 V 1.82-1.83
O: 0.8977 0.4256 0.7965  1 V 1.67

Output
Space-group type: C2/c, No. 15


Record 2
Below is a relaxed structure of CsNa2V2O7, with properties calculated at the PBE+U level.

Lattice parameters (Å, degrees): 6.4062 6.4062 8.8018 68.66 68.66 60.00
With the nearest neighbours (Å) after each atom.
Fractional coordinates of all 12 atoms:
O: 0.3765 0.0399 0.6930  1 V 1.72
V: 0.0757 0.0757 0.7729  4 O 1.72-1.81
O: 0.9601 0.6235 0.3070  1 V 1.72
Cs: 0.5000 0.5000 0.5000  6 O 3.15
Na: 0.7860 0.7860 0.6421  3 O 2.27
Na: 0.2140 0.2140 0.3579  3 O 2.27
O: 0.0000 0.0000 0.0000  2 V 1.81
O: 0.6235 0.1094 0.3070  1 V 1.72
O: 0.8906 0.3765 0.6930  1 V 1.72
O: 0.0399 0.8906 0.6930  1 V 1.72
V: 0.9243 0.9243 0.2271  4 O 1.72-1.81
O: 0.1094 0.9601 0.3070  1 V 1.72

Output
Space-group type: R32, No. 155


Record 3
Below is a relaxed structure of CsNa2W2O7, with properties calculated at the PBE+U level.

Lattice parameters (Å, degrees): 6.4757 6.4757 9.4171 69.89 69.89 60.00
With the nearest neighbours (Å) after each atom.
Fractional coordinates of all 12 atoms:
W: 0.0741 0.0741 0.7777  4 O 1.82-1.92
Cs: 0.5000 0.5000 0.5000  6 O 3.17
O: 0.8596 0.3830 0.7054  1 W 1.82
Na: 0.2321 0.2321 0.3036  3 O 2.23
O: 0.1404 0.9481 0.2946  1 W 1.82
O: 0.3830 0.0519 0.7054  1 W 1.82
O: 0.0000 0.0000 0.0000  2 W 1.92
O: 0.6170 0.1404 0.2946  1 W 1.82
W: 0.9259 0.9259 0.2223  4 O 1.82-1.92
O: 0.9481 0.6170 0.2946  1 W 1.82
O: 0.0519 0.8596 0.7054  1 W 1.82
Na: 0.7679 0.7679 0.6964  3 O 2.23

Output
Space-group type: R32, No. 155


Record 4
Below is a relaxed structure of Cs2NaWO4, with properties calculated at the PBE+U level.

Lattice parameters (Å, degrees): 5.9522 7.3280 10.9413 83.66 74.22 66.04
With the nearest neighbours (Å) after each atom.
Fractional coordinates of all 16 atoms:
Na: 0.0000 0.0000 0.0000  4 O 2.25
Cs: 0.8200 0.0000 0.3600  2 O 3.09
Cs: 0.1800 0.0000 0.6400  2 O 3.09
W: 0.2500 0.5000 0.5000  4 O 1.89
O: 0.3475 0.8184 0.0715  1 W 1.89
Na: 0.7500 0.5000 0.5000  4 O 2.25
O: 0.5810 0.1816 0.0715  1 W 1.89
W: 0.5000 0.0000 0.0000  4 O 1.89
O: 0.4025 0.6816 0.4285  1 W 1.89
Cs: 0.5700 0.5000 0.8600  2 O 3.09
O: 0.2373 0.1816 0.9285  1 W 1.89
O: 0.1690 0.3184 0.4285  1 W 1.89
O: 0.5127 0.3184 0.5715  1 W 1.89
Cs: 0.9300 0.5000 0.1400  2 O 3.09
O: 0.8342 0.8184 0.9285  1 W 1.89
O: 0.9158 0.6816 0.5715  1 W 1.89

Output
Space-group type: Fddd, No. 70


Record 5
Below is a relaxed structure of CsNaWO4, with properties calculated at the PBE+U level.

Lattice parameters (Å, degrees): 6.3250 6.6173 7.8639 90.00 105.95 90.00
With the nearest neighbours (Å) after each atom.
Fractional coordinates of all 14 atoms:
Cs: 0.2851 0.2500 0.0593  4 O 3.00-3.29
W: 0.7331 0.2500 0.6586  4 O 1.81-1.82
Na: 0.8321 0.7500 0.4958  3 O 2.32-2.41
W: 0.2669 0.7500 0.3414  4 O 1.81-1.82
O: 0.4768 0.7500 0.5518  1 W 1.81
O: 0.9150 0.0321 0.6779  1 W 1.82
O: 0.9150 0.4679 0.6779  1 W 1.82
Na: 0.1679 0.2500 0.5042  3 O 2.32-2.41
Cs: 0.7149 0.7500 0.9407  4 O 3.00-3.29
O: 0.3968 0.7500 0.1619  1 W 1.82
O: 0.0850 0.5321 0.3221  1 W 1.82
O: 0.0850 0.9679 0.3221  1 W 1.82
O: 0.5232 0.2500 0.4482  1 W 1.81
O: 0.6032 0.2500 0.8381  1 W 1.82

Output
Space-group type: P2_1/m, No. 11


Values of E_tot, in order: -6.630; -6.185; -6.191; -5.438; -6.164, all in eV/atom.